An optimized crystal structure of RbReB3. Source: Alexandria, functional PBE.

Geometry as CIF:
```
data_RbReB3
_cell_length_a 4.162
_cell_length_b 4.162
_cell_length_c 4.162
_cell_angle_alpha 90.00
_cell_angle_beta 90.00
_cell_angle_gamma 90.00
_space_group_name_H-M_alt 'P 1'
_space_group_IT_number 1
loop_
_space_group_symop_operation_xyz
'x,y,z'
loop_
_atom_site_label
_atom_site_type_symbol
_atom_site_fract_x
_atom_site_fract_y
_atom_site_fract_z
Rb1 Rb 0.000 0.000 0.000
Re1 Re 0.500 0.500 0.500
B1 B 0.000 0.000 0.500
B2 B 0.000 0.500 0.000
B3 B 0.500 0.000 0.000
```

Results
- calculated total energy (eV per cell) = -12.99
- Fermi-level density of states (states/eV/f.u.) = 8.5

An optimized crystal structure of Mg2HgPd. Source: Alexandria, functional PBE.

Geometry as CIF:
```
data_Mg2HgPd
_cell_length_a 7.282
_cell_length_b 7.282
_cell_length_c 7.282
_cell_angle_alpha 155.67
_cell_angle_beta 143.44
_cell_angle_gamma 44.40
_space_group_name_H-M_alt 'P 1'
_space_group_IT_number 1
loop_
_space_group_symop_operation_xyz
'x,y,z'
loop_
_atom_site_label
_atom_site_type_symbol
_atom_site_fract_x
_atom_site_fract_y
_atom_site_fract_z
Mg1 Mg 0.191 0.191 0.000
Mg2 Mg 0.809 0.809 0.000
Hg1 Hg 0.500 0.500 0.000
Pd1 Pd 0.000 0.000 0.000
```

Results
- calculated total energy (eV per cell) = -8.84
- Fermi-level density of states (states/eV/f.u.) = 1.7

An optimized crystal structure of Er2InGa2Ir5. Source: Alexandria, functional PBE.

Geometry as CIF:
```
data_Er2InGa2Ir5
_cell_length_a 9.745
_cell_length_b 9.745
_cell_length_c 3.662
_cell_angle_alpha 90.00
_cell_angle_beta 90.00
_cell_angle_gamma 90.00
_space_group_name_H-M_alt 'P 1'
_space_group_IT_number 1
loop_
_space_group_symop_operation_xyz
'x,y,z'
loop_
_atom_site_label
_atom_site_type_symbol
_atom_site_fract_x
_atom_site_fract_y
_atom_site_fract_z
Er1 Er 0.175 0.325 0.000
Er2 Er 0.325 0.825 0.000
Er3 Er 0.675 0.175 0.000
Er4 Er 0.825 0.675 0.000
In1 In 0.000 0.000 0.000
In2 In 0.500 0.500 0.000
Ga1 Ga 0.124 0.624 0.000
Ga2 Ga 0.376 0.124 0.000
Ga3 Ga 0.624 0.876 0.000
Ga4 Ga 0.876 0.376 0.000
Ir1 Ir 0.000 0.500 0.500
Ir2 Ir 0.067 0.791 0.500
Ir3 Ir 0.209 0.067 0.500
Ir4 Ir 0.291 0.567 0.500
Ir5 Ir 0.433 0.291 0.500
Ir6 Ir 0.500 0.000 0.500
Ir7 Ir 0.567 0.709 0.500
Ir8 Ir 0.709 0.433 0.500
Ir9 Ir 0.791 0.933 0.500
Ir10 Ir 0.933 0.209 0.500
```

Results
- calculated total energy (eV per cell) = -136.70
- Fermi-level density of states (states/eV/f.u.) = 4.7

An optimized crystal structure of CoNi2Pd6. Source: Alexandria, functional PBE.

Geometry as CIF:
```
data_CoNi2Pd6
_cell_length_a 4.256
_cell_length_b 4.256
_cell_length_c 7.961
_cell_angle_alpha 96.96
_cell_angle_beta 96.96
_cell_angle_gamma 64.34
_space_group_name_H-M_alt 'P 1'
_space_group_IT_number 1
loop_
_space_group_symop_operation_xyz
'x,y,z'
loop_
_atom_site_label
_atom_site_type_symbol
_atom_site_fract_x
_atom_site_fract_y
_atom_site_fract_z
Co1 Co 0.000 0.000 0.000
Ni1 Ni 0.330 0.330 0.555
Ni2 Ni 0.670 0.670 0.445
Pd1 Pd 0.008 0.008 0.336
Pd2 Pd 0.331 0.331 0.892
Pd3 Pd 0.338 0.338 0.233
Pd4 Pd 0.662 0.662 0.767
Pd5 Pd 0.669 0.669 0.108
Pd6 Pd 0.992 0.992 0.664
```

Results
- calculated total energy (eV per cell) = -48.56
- Fermi-level density of states (states/eV/f.u.) = 18.5

An optimized crystal structure of CdHg2F6. Source: Alexandria, functional PBE.

Geometry as CIF:
```
data_CdHg2F6
_cell_length_a 6.185
_cell_length_b 5.605
_cell_length_c 11.021
_cell_angle_alpha 90.00
_cell_angle_beta 121.06
_cell_angle_gamma 90.00
_space_group_name_H-M_alt 'P 1'
_space_group_IT_number 1
loop_
_space_group_symop_operation_xyz
'x,y,z'
loop_
_atom_site_label
_atom_site_type_symbol
_atom_site_fract_x
_atom_site_fract_y
_atom_site_fract_z
Cd1 Cd 0.000 0.000 0.000
Cd2 Cd 0.000 0.500 0.500
Hg1 Hg 0.310 0.007 0.806
Hg2 Hg 0.310 0.493 0.306
Hg3 Hg 0.690 0.507 0.694
Hg4 Hg 0.690 0.993 0.194
F1 F 0.009 0.216 0.175
F2 F 0.009 0.284 0.675
F3 F 0.327 0.183 0.003
F4 F 0.327 0.317 0.503
F5 F 0.328 0.727 0.665
F6 F 0.328 0.773 0.165
F7 F 0.672 0.227 0.835
F8 F 0.672 0.273 0.335
F9 F 0.673 0.683 0.497
F10 F 0.673 0.817 0.997
F11 F 0.991 0.716 0.325
F12 F 0.991 0.784 0.825
```

Results
- uncorrected formation energy (eV/atom) = -1.648

An optimized crystal structure of Ce2MgH. Source: Alexandria, functional PBE.

Geometry as CIF:
```
data_Ce2MgH
_cell_length_a 10.025
_cell_length_b 10.025
_cell_length_c 10.025
_cell_angle_alpha 17.93
_cell_angle_beta 17.93
_cell_angle_gamma 17.93
_space_group_name_H-M_alt 'P 1'
_space_group_IT_number 1
loop_
_space_group_symop_operation_xyz
'x,y,z'
loop_
_atom_site_label
_atom_site_type_symbol
_atom_site_fract_x
_atom_site_fract_y
_atom_site_fract_z
Ce1 Ce 0.112 0.112 0.112
Ce2 Ce 0.888 0.888 0.888
Mg1 Mg 0.000 0.000 0.000
H1 H 0.500 0.500 0.500
```

Results
- calculated total energy (eV per cell) = -16.82
- Fermi-level density of states (states/eV/f.u.) = 7.5

An optimized crystal structure of CaAl3Te. Source: Alexandria, functional PBE.

Geometry as CIF:
```
data_CaAl3Te
_cell_length_a 5.428
_cell_length_b 5.428
_cell_length_c 5.428
_cell_angle_alpha 90.00
_cell_angle_beta 90.00
_cell_angle_gamma 90.00
_space_group_name_H-M_alt 'P 1'
_space_group_IT_number 1
loop_
_space_group_symop_operation_xyz
'x,y,z'
loop_
_atom_site_label
_atom_site_type_symbol
_atom_site_fract_x
_atom_site_fract_y
_atom_site_fract_z
Ca1 Ca 0.000 0.000 0.000
Al1 Al 0.000 0.500 0.500
Al2 Al 0.500 0.000 0.500
Al3 Al 0.500 0.500 0.000
Te1 Te 0.500 0.500 0.500
```

Results
- uncorrected formation energy (eV/atom) = 0.569
- Fermi-level density of states (states/eV/f.u.) = 3.9

An optimized crystal structure of CaRh. Source: Alexandria, functional PBE.

Geometry as CIF:
```
data_CaRh
_cell_length_a 4.009
_cell_length_b 4.009
_cell_length_c 4.009
_cell_angle_alpha 60.00
_cell_angle_beta 60.00
_cell_angle_gamma 60.00
_space_group_name_H-M_alt 'P 1'
_space_group_IT_number 1
loop_
_space_group_symop_operation_xyz
'x,y,z'
loop_
_atom_site_label
_atom_site_type_symbol
_atom_site_fract_x
_atom_site_fract_y
_atom_site_fract_z
Ca1 Ca 0.000 0.000 0.000
Rh1 Rh 0.500 0.500 0.500
```

Results
- calculated total energy (eV per cell) = -8.94
- Fermi-level density of states (states/eV/f.u.) = 1.8

An optimized crystal structure of SrV3Pt. Source: Alexandria, functional PBE.

Geometry as CIF:
```
data_SrV3Pt
_cell_length_a 4.447
_cell_length_b 4.447
_cell_length_c 4.447
_cell_angle_alpha 90.00
_cell_angle_beta 90.00
_cell_angle_gamma 90.00
_space_group_name_H-M_alt 'P 1'
_space_group_IT_number 1
loop_
_space_group_symop_operation_xyz
'x,y,z'
loop_
_atom_site_label
_atom_site_type_symbol
_atom_site_fract_x
_atom_site_fract_y
_atom_site_fract_z
Sr1 Sr 0.000 0.000 0.000
V1 V 0.000 0.000 0.500
V2 V 0.000 0.500 0.000
V3 V 0.500 0.000 0.000
Pt1 Pt 0.500 0.500 0.500
```

Results
- calculated total energy (eV per cell) = -23.65
- Fermi-level density of states (states/eV/f.u.) = 8.3

An optimized crystal structure of Dy5Cd2Os2. Source: Alexandria, functional PBE.

Geometry as CIF:
```
data_Dy5Cd2Os2
_cell_length_a 9.003
_cell_length_b 9.003
_cell_length_c 7.587
_cell_angle_alpha 90.00
_cell_angle_beta 90.00
_cell_angle_gamma 48.79
_space_group_name_H-M_alt 'P 1'
_space_group_IT_number 1
loop_
_space_group_symop_operation_xyz
'x,y,z'
loop_
_atom_site_label
_atom_site_type_symbol
_atom_site_fract_x
_atom_site_fract_y
_atom_site_fract_z
Dy1 Dy 0.000 0.000 0.000
Dy2 Dy 0.062 0.699 0.682
Dy3 Dy 0.199 0.562 0.182
Dy4 Dy 0.301 0.938 0.682
Dy5 Dy 0.438 0.801 0.182
Dy6 Dy 0.500 0.500 0.500
Dy7 Dy 0.562 0.199 0.818
Dy8 Dy 0.699 0.062 0.318
Dy9 Dy 0.801 0.438 0.818
Dy10 Dy 0.938 0.301 0.318
Cd1 Cd 0.223 0.223 0.000
Cd2 Cd 0.277 0.277 0.500
Cd3 Cd 0.723 0.723 0.500
Cd4 Cd 0.777 0.777 0.000
Os1 Os 0.115 0.885 0.380
Os2 Os 0.385 0.615 0.880
Os3 Os 0.615 0.385 0.120
Os4 Os 0.885 0.115 0.620
```

Results
- calculated total energy (eV per cell) = -99.37
- Fermi-level density of states (states/eV/f.u.) = 7.0

An optimized crystal structure of Rb2MgMnBr6. Source: Alexandria, functional PBE.

Geometry as CIF:
```
data_Rb2MgMnBr6
_cell_length_a 7.626
_cell_length_b 7.626
_cell_length_c 7.626
_cell_angle_alpha 60.00
_cell_angle_beta 60.00
_cell_angle_gamma 60.00
_space_group_name_H-M_alt 'P 1'
_space_group_IT_number 1
loop_
_space_group_symop_operation_xyz
'x,y,z'
loop_
_atom_site_label
_atom_site_type_symbol
_atom_site_fract_x
_atom_site_fract_y
_atom_site_fract_z
Rb1 Rb 0.250 0.250 0.250
Rb2 Rb 0.750 0.750 0.750
Mg1 Mg 0.000 0.000 0.000
Mn1 Mn 0.500 0.500 0.500
Br1 Br 0.250 0.250 0.750
Br2 Br 0.250 0.750 0.250
Br3 Br 0.250 0.750 0.750
Br4 Br 0.750 0.250 0.250
Br5 Br 0.750 0.250 0.750
Br6 Br 0.750 0.750 0.250
```

Results
- uncorrected formation energy (eV/atom) = -1.360
- Fermi-level density of states (states/eV/f.u.) = 0.0